Er3Te2, relaxed, DFT PBE; spin magnetization = 0.0 Bohr magnetons per cell; electronic total energy = -0.184 Ha/atom; symmetry = Pnma, No. 62
1.0
11.786 0.000 0.000
0.000 4.058 0.000
0.000 0.000 11.560
Te Er
8 12
Cartesian
9.485 3.044 5.754
3.592 3.044 0.026
8.194 1.015 11.534
6.302 1.015 3.711
5.484 3.044 7.849
0.409 1.015 2.069
11.377 3.044 9.491
2.301 1.015 5.806
2.446 3.044 8.176
4.447 3.044 4.999
7.339 1.015 6.561
8.339 3.044 9.164
0.521 3.044 4.354
10.340 3.044 0.781
3.447 1.015 2.396
11.265 1.015 7.206
1.446 1.015 10.779
5.372 1.015 10.134
9.340 1.015 3.384
6.414 3.044 1.426